Run w
VASP calculation (PBE) on a relaxed structure of TaCdBi3.

Structure (extended XYZ):
```
5
Lattice="5.528 0.000 0.000 0.000 5.528 0.000 0.000 0.000 5.528" Properties=species:S:1:pos:R:3 pbc="T T T"
Cd 2.764 2.764 2.764
Bi 0.000 2.764 0.000
Bi 0.000 0.000 2.764
Bi 2.764 0.000 0.000
Ta 0.000 0.000 0.000
```

---

Run x
VASP calculation (PBE) on a relaxed structure of TaCdBi3.

Structure (extended XYZ):
```
5
Lattice="5.528 0.000 0.000 0.000 5.528 0.000 0.000 0.000 5.528" Properties=species:S:1:pos:R:3 pbc="T T T"
Cd 0.000 0.000 0.000
Bi 0.000 2.764 0.000
Bi 0.000 0.000 2.764
Bi 2.764 0.000 0.000
Ta 2.764 2.764 2.764
```

---

Compare the structures above. Which one is the least stable? run x is.